<i>
A plane-wave DFT calculation with PBE was carried out for crystalline CaYSb2 at its relaxed geometry. Values from VASP.

```
&SYSTEM
  ibrav = 0, nat = 4, ntyp = 3
/
ATOMIC_SPECIES
Ca 40.08 Ca.upf
Y 88.91 Y.upf
Sb 121.76 Sb.upf
CELL_PARAMETERS angstrom
-2.2263 2.2263 5.6097
2.2263 -2.2263 5.6097
2.2263 2.2263 -5.6097
ATOMIC_POSITIONS angstrom
Ca 0.0000 0.0000 0.0000
Y 2.2263 0.0000 2.8048
Sb 0.0000 0.0000 5.6097
Sb 0.0000 2.2263 2.8048
```

Properties
volume = 111.2 Å³/cell
space-group type = No. 119

***

<ii>
A plane-wave DFT calculation with PBE was carried out for crystalline CaYSb2 at its relaxed geometry. Values from VASP.

```
&SYSTEM
  ibrav = 0, nat = 4, ntyp = 3
/
ATOMIC_SPECIES
Ca 40.08 Ca.upf
Y 88.91 Y.upf
Sb 121.76 Sb.upf
CELL_PARAMETERS angstrom
3.7138 -2.1987 0.0000
3.7138 2.1987 0.0000
-2.5748 0.0000 7.6692
ATOMIC_POSITIONS angstrom
Ca 0.0000 0.0000 0.0000
Y 2.4264 0.0000 3.8346
Sb -0.0704 0.0000 5.6683
Sb 4.9232 0.0000 2.0009
```

Properties
volume = 125.2 Å³/cell
space-group type = No. 12

***

Q: Which of them is the most stable? A: <ii>.

***

<i>
A plane-wave DFT calculation with PBE was carried out for crystalline CaYSb2 at its relaxed geometry. Values from VASP.

```
&SYSTEM
  ibrav = 0, nat = 4, ntyp = 3
/
ATOMIC_SPECIES
Ca 40.08 Ca.upf
Y 88.91 Y.upf
Sb 121.76 Sb.upf
CELL_PARAMETERS angstrom
5.9106 -2.1285 0.0000
5.9106 2.1285 0.0000
-0.6087 0.0000 4.6393
ATOMIC_POSITIONS angstrom
Ca 0.0000 0.0000 0.0000
Y 2.6183 0.0000 2.4089
Sb 5.7977 0.0000 2.3671
Sb 8.7085 0.0000 0.0569
```

Properties
volume = 116.7 Å³/cell
space-group type = No. 8

***

<ii>
A plane-wave DFT calculation with PBE was carried out for crystalline CaYSb2 at its relaxed geometry. Values from VASP.

```
&SYSTEM
  ibrav = 0, nat = 4, ntyp = 3
/
ATOMIC_SPECIES
Ca 40.08 Ca.upf
Y 88.91 Y.upf
Sb 121.76 Sb.upf
CELL_PARAMETERS angstrom
3.4411 0.0000 0.0000
0.0000 4.0698 0.0000
-0.8350 0.0000 8.0891
ATOMIC_POSITIONS angstrom
Ca 0.0000 0.0000 0.0000
Y -0.4175 0.0000 4.0445
Sb 1.0606 2.0349 5.9975
Sb 1.5455 2.0349 2.0916
```

Properties
volume = 113.3 Å³/cell
space-group type = No. 10

***

Q: Which of them is the most stable? A: <i>.

***

<i>
A plane-wave DFT calculation with PBE was carried out for crystalline CaYSb2 at its relaxed geometry. Values from VASP.

```
&SYSTEM
  ibrav = 0, nat = 8, ntyp = 3
/
ATOMIC_SPECIES
Ca 40.08 Ca.upf
Y 88.91 Y.upf
Sb 121.76 Sb.upf
CELL_PARAMETERS angstrom
-4.1255 4.1255 3.6339
4.1255 -4.1255 3.6339
4.1255 4.1255 -3.6339
ATOMIC_POSITIONS angstrom
Ca 0.0000 0.0000 0.0000
Ca 0.0000 4.1255 1.8169
Y 4.1255 0.0000 1.8169
Y 0.0000 0.0000 3.6339
Sb 2.0628 -2.0266 2.7254
Sb 2.0989 2.0628 0.9085
Sb 2.0628 6.1522 -0.9085
Sb 2.0266 2.0628 4.5423
```

Properties
volume = 247.4 Å³/cell
space-group type = No. 122

***

<ii>
A plane-wave DFT calculation with PBE was carried out for crystalline CaYSb2 at its relaxed geometry. Values from VASP.

```
&SYSTEM
  ibrav = 0, nat = 4, ntyp = 3
/
ATOMIC_SPECIES
Ca 40.08 Ca.upf
Y 88.91 Y.upf
Sb 121.76 Sb.upf
CELL_PARAMETERS angstrom
0.0000 3.8414 3.8414
3.8414 0.0000 3.8414
3.8414 3.8414 0.0000
ATOMIC_POSITIONS angstrom
Ca 0.0000 0.0000 0.0000
Y 5.7621 5.7621 5.7621
Sb 1.9207 1.9207 1.9207
Sb 3.8414 3.8414 3.8414
```

Properties
volume = 113.4 Å³/cell
space-group type = No. 216

***

<iii>
A plane-wave DFT calculation with PBE was carried out for crystalline CaYSb2 at its relaxed geometry. Values from VASP.

```
&SYSTEM
  ibrav = 0, nat = 4, ntyp = 3
/
ATOMIC_SPECIES
Ca 40.08 Ca.upf
Y 88.91 Y.upf
Sb 121.76 Sb.upf
CELL_PARAMETERS angstrom
4.1114 0.0000 0.0000
0.0000 4.7429 0.0000
0.0000 0.0000 6.3368
ATOMIC_POSITIONS angstrom
Ca 0.0000 0.0000 0.0000
Y 2.0557 2.3714 3.1684
Sb 0.0000 0.0000 3.1684
Sb 2.0557 2.3714 0.0000
```

Properties
volume = 123.6 Å³/cell
space-group type = No. 47

***

Q: Which of them is the most stable? A: <iii>.

***

<i>
A plane-wave DFT calculation with PBE was carried out for crystalline CaY3Sb at its relaxed geometry. Values from VASP.

```
&SYSTEM
  ibrav = 0, nat = 5, ntyp = 3
/
ATOMIC_SPECIES
Ca 40.08 Ca.upf
Y 88.91 Y.upf
Sb 121.76 Sb.upf
CELL_PARAMETERS angstrom
5.5185 0.0000 0.0000
0.0000 5.5185 0.0000
0.0000 0.0000 5.5185
ATOMIC_POSITIONS angstrom
Ca 0.0000 0.0000 0.0000
Y 0.0000 0.0000 2.7592
Y 0.0000 2.7592 0.0000
Y 2.7592 0.0000 0.0000
Sb 2.7592 2.7592 2.7592
```

Properties
volume = 168.1 Å³/cell
space-group type = No. 221

***

<ii>
A plane-wave DFT calculation with PBE was carried out for crystalline CaY3Sb at its relaxed geometry. Values from VASP.

```
&SYSTEM
  ibrav = 0, nat = 5, ntyp = 3
/
ATOMIC_SPECIES
Ca 40.08 Ca.upf
Y 88.91 Y.upf
Sb 121.76 Sb.upf
CELL_PARAMETERS angstrom
5.8025 0.0000 0.0000
0.0000 5.8025 0.0000
0.0000 0.0000 5.8025
ATOMIC_POSITIONS angstrom
Ca 0.0000 0.0000 0.0000
Y 0.0000 2.9013 2.9013
Y 2.9013 0.0000 2.9013
Y 2.9013 2.9013 0.0000
Sb 2.9013 2.9013 2.9013
```

Properties
volume = 195.4 Å³/cell
space-group type = No. 221

***

Q: Which of them is the most stable? A: <ii>.